(1)
LiY2Pd after structural relaxation, computed with PBE.

Structure (extended XYZ):
```
4
Lattice="-1.5645 3.4890 -1.5441 -2.2714 -0.1041 -3.4402 -7.6324 0.1490 2.5633" Properties=species:S:1:pos:R:3 pbc="T T T"
Li -5.6892 1.7739 -1.2404
Y -6.3978 0.3393 1.7424
Y -2.5315 0.9352 -0.8284
Pd -2.5839 2.2525 -3.3051
```

Calculated values
- energy relative to the elements (eV per atom) = -0.238
- DFT total energy (eV per atom) = -5.247
- magnetic moment (μB/atom) = 0.00

=====

(2)
TiCd3N after structural relaxation, computed with PBE.

Structure (extended XYZ):
```
5
Lattice="-1.4925 -2.6188 -4.4721 4.3912 -3.1106 0.3561 -2.7523 -3.5428 2.9931" Properties=species:S:1:pos:R:3 pbc="T T T"
N 0.0732 -4.6361 -0.5615
Ti 0.0000 0.0000 0.0000
Cd 2.1956 -1.5553 0.1780
Cd -1.3762 -1.7714 1.4966
Cd -0.7462 -1.3094 -2.2361
```

Calculated values
- formation energy without anion corrections (eV per atom) = 1.936
- DFT total energy (eV per atom) = -1.857
- magnetic moment (μB/atom) = 0.38

=====

(3)
KMn2Te after structural relaxation, computed with PBE.

Structure (extended XYZ):
```
4
Lattice="-1.0440 -3.0329 4.6986 5.0855 -2.1739 -3.7386 2.4802 1.2731 1.3306" Properties=species:S:1:pos:R:3 pbc="T T T"
K 2.0208 -2.6034 0.4800
Mn 0.0000 0.0000 0.0000
Mn 0.7181 -0.8799 3.0146
Te 3.7829 -0.4504 -1.2040
```

Calculated values
- formation energy without anion corrections (eV per atom) = 0.620
- DFT total energy (eV per atom) = -5.024
- magnetic moment (μB/atom) = 2.20

=====

(4)
U5C after structural relaxation, computed with PBE.

Structure (extended XYZ):
```
6
Lattice="3.8301 0.0000 0.0000 0.0000 4.7807 0.0000 0.0000 -2.3904 5.7619" Properties=species:S:1:pos:R:3 pbc="T T T"
C 0.0000 0.0000 0.0000
U 0.0000 2.3904 2.0022
U 0.0000 0.0000 3.7598
U 1.9151 2.3904 0.0000
U 1.9151 0.0000 1.5530
U 1.9151 2.3904 4.2090
```

Calculated values
- energy relative to the elements (eV per atom) = 0.318
- DFT total energy (eV per atom) = -10.626
- magnetic moment (μB/atom) = 0.00

=====

(5)
Hf3MnAg after structural relaxation, computed with PBE.

Structure (extended XYZ):
```
5
Lattice="5.0015 0.0000 0.0000 0.0000 5.0015 0.0000 0.0000 0.0000 5.0015" Properties=species:S:1:pos:R:3 pbc="T T T"
Mn 2.5008 2.5008 2.5008
Hf 0.0000 2.5008 0.0000
Hf 0.0000 0.0000 2.5008
Hf 2.5008 0.0000 0.0000
Ag 0.0000 0.0000 0.0000
```

Calculated values
- energy relative to the elements (eV per atom) = 1.668
- DFT total energy (eV per atom) = -6.709
- magnetic moment (μB/atom) = 0.00

=====

(6)
Li2YRe after structural relaxation, computed with PBE.

Structure (extended XYZ):
```
4
Lattice="-0.6871 0.4443 -3.0375 3.6965 -2.5838 -1.2141 -2.9938 -4.3054 0.0475" Properties=species:S:1:pos:R:3 pbc="T T T"
Li 0.0000 0.0000 0.0000
Li 1.5047 -1.0697 -2.1258
Re -1.8404 -1.9306 -1.4950
Y 0.3514 -3.4446 -0.5833
```

Calculated values
- energy relative to the elements (eV per atom) = 0.478
- DFT total energy (eV per atom) = -5.207
- magnetic moment (μB/atom) = 0.00

=====

(7)
Ta6VOs5 after structural relaxation, computed with PBE.

Structure (extended XYZ):
```
12
Lattice="4.3442 0.0018 -0.9069 -0.0029 6.5372 -0.0007 -0.8109 0.0004 6.9754" Properties=species:S:1:pos:R:3 pbc="T T T"
V 0.0000 0.0000 0.0000
Os 2.6271 3.2699 1.7329
Os 0.9037 6.5379 4.3384
Os -0.0014 3.2686 -0.0003
Os 2.6266 0.0014 1.7294
Os 0.9032 3.2695 4.3349
Ta 3.0831 4.9345 3.9204
Ta 3.0846 1.6061 3.9208
Ta 1.3604 1.5912 6.5217
Ta 2.1699 4.9481 -0.4539
Ta 0.4457 4.9333 2.1470
Ta 0.4472 1.6048 2.1474
```

Calculated values
- energy relative to the elements (eV per atom) = -0.307
- DFT total energy (eV per atom) = -11.673
- magnetic moment (μB/atom) = 0.00

=====

(8)
Zr3ZnNi after structural relaxation, computed with PBE.

Structure (extended XYZ):
```
5
Lattice="-3.7659 -2.2890 -2.0040 2.3705 -4.2066 0.3503 -1.9069 -0.7088 4.3930" Properties=species:S:1:pos:R:3 pbc="T T T"
Ni 0.0000 0.0000 0.0000
Zn -1.6511 -3.6022 1.3697
Zr 1.1852 -2.1033 0.1751
Zr -0.9535 -0.3544 2.1965
Zr -1.8829 -1.1445 -1.0020
```

Calculated values
- energy relative to the elements (eV per atom) = 0.267
- DFT total energy (eV per atom) = -6.273
- magnetic moment (μB/atom) = 0.00

=====

(9)
BaReAu2 after structural relaxation, computed with PBE.

Structure (extended XYZ):
```
4
Lattice="0.0000 3.6472 3.6472 3.6472 0.0000 3.6472 3.6472 3.6472 0.0000" Properties=species:S:1:pos:R:3 pbc="T T T"
Re 3.6472 3.6472 3.6472
Au 1.8236 1.8236 1.8236
Au 5.4708 5.4708 5.4708
Ba 0.0000 0.0000 0.0000
```

Calculated values
- energy relative to the elements (eV per atom) = 0.746
- DFT total energy (eV per atom) = -4.485
- magnetic moment (μB/atom) = 0.75

=====

(10)
Zn4GeTe2 after structural relaxation, computed with PBE.

Structure (extended XYZ):
```
7
Lattice="-1.6279 -3.7098 3.0090 4.7744 -1.1653 1.1462 1.3706 1.9731 7.4060" Properties=species:S:1:pos:R:3 pbc="T T T"
Ge 0.0000 0.0000 0.0000
Te 3.0015 -1.7193 7.9676
Te 1.5156 -1.1827 3.5936
Zn 3.0756 -3.3312 6.0204
Zn 1.4415 0.4292 5.5408
Zn 2.3872 -0.5827 0.5731
Zn -0.8139 -1.8549 1.5045
```

Calculated values
- formation energy without anion corrections (eV per atom) = 0.114
- DFT total energy (eV per atom) = -2.172
- magnetic moment (μB/atom) = 0.00

=====

(11)
CaBeTl after structural relaxation, computed with PBE.

Structure (extended XYZ):
```
3
Lattice="-3.2301 2.9076 -1.2879 -0.8214 -2.9754 3.3194 1.2413 2.5126 2.5595" Properties=species:S:1:pos:R:3 pbc="T T T"
Be 1.0338 2.0927 2.1317
Tl -0.5896 1.0801 3.9172
Ca -2.0132 1.7846 1.1015
```

Calculated values
- energy relative to the elements (eV per atom) = 0.004
- DFT total energy (eV per atom) = -2.694
- magnetic moment (μB/atom) = 0.00

=====

(12)
ZrReAu after structural relaxation, computed with PBE.

Structure (extended XYZ):
```
3
Lattice="7.1662 -0.0211 0.0169 6.4515 2.7515 0.0179 0.7147 -0.5967 2.7076" Properties=species:S:1:pos:R:3 pbc="T T T"
Au 13.5864 2.7224 0.0413
Re 4.9761 0.5021 1.8249
Zr 9.3878 1.6397 0.9111
```

Calculated values
- energy relative to the elements (eV per atom) = 0.082
- DFT total energy (eV per atom) = -8.009
- magnetic moment (μB/atom) = 0.00

=====

(13)
HoSc4Ir5 after structural relaxation, computed with PBE.

Structure (extended XYZ):
```
10
Lattice="-0.5408 3.0863 0.5739 -3.0183 -0.3512 -0.9558 -4.6417 -3.7987 16.0532" Properties=species:S:1:pos:R:3 pbc="T T T"
Ho 0.0000 0.0000 0.0000
Sc -0.9590 -0.7849 3.3168
Sc -1.8672 -1.5281 6.4576
Sc -2.7745 -2.2706 9.5956
Sc -3.6826 -3.0139 12.7364
Ir -2.2974 0.9438 1.6000
Ir -3.1974 0.2073 4.7125
Ir -4.1004 -0.5318 7.8357
Ir -5.0035 -1.2708 10.9588
Ir -5.9034 -2.0073 14.0713
```

Calculated values
- energy relative to the elements (eV per atom) = -0.974
- DFT total energy (eV per atom) = -8.395
- magnetic moment (μB/atom) = 0.00